(1)
First-principles (PBEsol) data for an optimized crystal structure of ScFeIr2, as listed in Alexandria via LeMat-Bulk.

Results
Volume   58 Å³/cell
Electronic total energy   -9.068 eV/atom
DFT formation energy   -102 kJ/mol of formula units

abc: 2.789 4.655 4.781
angles: 101.01 90.00 107.43
Sites, in units of the cell vectors:
Ir1 0.757 0.515 0.769
Ir2 0.243 0.485 0.231
Sc1 0.000 0.000 0.500
Fe1 0.500 0.000 0.000

=====

(2)
First-principles (PBEsol) data for an optimized crystal structure of Fe2IrSe, as listed in Alexandria via LeMat-Bulk.

Results
Volume   52 Å³/cell
Electronic total energy   -7.644 eV/atom
ΔE_f (raw)   256 meV per atom

abc: 2.771 3.777 5.118
angles: 90.00 101.79 90.00
Sites, in units of the cell vectors:
Ir1 0.500 0.500 0.000
Se1 0.500 0.500 0.500
Fe1 0.918 0.000 0.747
Fe2 0.082 0.000 0.253

=====

(3)
First-principles (PBEsol) data for an optimized crystal structure of FeIrSe2, as listed in Alexandria via LeMat-Bulk.

Results
Volume   58 Å³/cell
Electronic total energy   -6.307 eV/atom
ΔE_f (raw)   315 meV per atom

abc: 3.049 3.049 6.239
angles: 90.00 90.00 90.00
Sites, in units of the cell vectors:
Se1 0.000 0.000 0.235
Se2 0.000 0.000 0.765
Fe1 0.500 0.500 0.000
Ir1 0.500 0.500 0.500

=====

(4)
First-principles (PBEsol) data for an optimized crystal structure of FeIrSe2, as listed in Alexandria via LeMat-Bulk.

Results
Volume   64 Å³/cell
Electronic total energy   -6.501 eV/atom
ΔE_f (raw)   121 meV per atom

abc: 2.905 2.905 7.531
angles: 90.00 90.00 90.00
Sites, in units of the cell vectors:
Fe1 0.000 0.000 0.496
Ir1 0.500 0.500 0.736
Se1 0.000 0.000 0.944
Se2 0.500 0.500 0.324

=====

(5)
First-principles (PBEsol) data for an optimized crystal structure of FeIrSe2, as listed in Alexandria via LeMat-Bulk.

Results
Volume   76 Å³/cell
Electronic total energy   -6.729 eV/atom
ΔE_f (raw)   -107 meV per atom

abc: 3.792 3.792 5.306
angles: 90.00 89.90 90.00
Sites, in units of the cell vectors:
Se1 0.626 0.500 0.356
Se2 0.124 0.000 0.894
Fe1 0.625 0.000 0.625
Ir1 0.125 0.500 0.625

=====

(6)
First-principles (PBEsol) data for an optimized crystal structure of FeIrSe2, as listed in Alexandria via LeMat-Bulk.

Results
Volume   59 Å³/cell
Electronic total energy   -6.393 eV/atom
ΔE_f (raw)   229 meV per atom

abc: 3.036 3.036 7.609
angles: 78.49 78.49 60.00
Sites, in units of the cell vectors:
Fe1 0.500 0.500 0.500
Se1 0.243 0.243 0.272
Se2 0.757 0.757 0.728
Ir1 0.000 0.000 0.000

=====

(7)
First-principles (PBEsol) data for an optimized crystal structure of FeSiIr2, as listed in Alexandria via LeMat-Bulk.

Results
Volume   50 Å³/cell
Electronic total energy   -8.872 eV/atom
ΔE_f (raw)   -283 meV per atom

abc: 2.725 4.381 4.684
angles: 109.23 106.91 90.00
Sites, in units of the cell vectors:
Fe1 0.229 0.785 0.458
Ir1 0.986 0.949 0.971
Ir2 0.771 0.307 0.542
Si1 0.515 0.459 0.029

=====

(8)
First-principles (PBEsol) data for an optimized crystal structure of Fe2SiIr, as listed in Alexandria via LeMat-Bulk.

Results
Volume   48 Å³/cell
Electronic total energy   -8.733 eV/atom
ΔE_f (raw)   -359 meV per atom

abc: 4.066 4.066 4.066
angles: 60.00 60.00 60.00
Sites, in units of the cell vectors:
Si1 0.250 0.250 0.250
Ir1 0.500 0.500 0.500
Fe1 0.000 0.000 0.000
Fe2 0.750 0.750 0.750

=====

(9)
First-principles (PBEsol) data for an optimized crystal structure of Fe2SiIr, as listed in Alexandria via LeMat-Bulk.

Results
Volume   46 Å³/cell
Electronic total energy   -8.638 eV/atom
ΔE_f (raw)   -263 meV per atom

abc: 3.556 3.556 4.392
angles: 113.88 113.88 90.00
Sites, in units of the cell vectors:
Ir1 0.500 0.500 0.000
Fe1 0.750 0.250 0.500
Fe2 0.250 0.750 0.500
Si1 0.000 0.000 0.000

=====

(10)
First-principles (PBEsol) data for an optimized crystal structure of FeSiIr2, as listed in Alexandria via LeMat-Bulk.

Results
Volume   51 Å³/cell
Electronic total energy   -8.892 eV/atom
ΔE_f (raw)   -303 meV per atom

abc: 2.738 4.361 4.361
angles: 102.63 90.00 90.00
Sites, in units of the cell vectors:
Si1 0.500 0.000 0.000
Ir1 0.000 0.500 0.000
Ir2 0.000 0.000 0.500
Fe1 0.500 0.500 0.500

=====

(11)
First-principles (PBEsol) data for an optimized crystal structure of Fe2SiIr, as listed in Alexandria via LeMat-Bulk.

Results
Volume   47 Å³/cell
Electronic total energy   -8.716 eV/atom
ΔE_f (raw)   -341 meV per atom

abc: 2.873 2.873 5.708
angles: 90.00 90.00 90.00
Sites, in units of the cell vectors:
Fe1 0.500 0.500 0.222
Fe2 0.000 0.000 0.994
Ir1 0.000 0.000 0.514
Si1 0.500 0.500 0.771

=====

(12)
First-principles (PBEsol) data for an optimized crystal structure of Fe2SiIr, as listed in Alexandria via LeMat-Bulk.

Results
Volume   48 Å³/cell
Electronic total energy   -8.589 eV/atom
ΔE_f (raw)   -215 meV per atom

abc: 2.625 3.685 4.936
angles: 90.00 94.80 90.00
Sites, in units of the cell vectors:
Si1 0.500 0.500 0.500
Fe1 0.040 0.000 0.264
Fe2 0.960 0.000 0.736
Ir1 0.500 0.500 0.000

=====

(13)
First-principles (PBEsol) data for an optimized crystal structure of Fe2SiIr, as listed in Alexandria via LeMat-Bulk.

Results
Volume   47 Å³/cell
Electronic total energy   -8.615 eV/atom
ΔE_f (raw)   -241 meV per atom

abc: 2.801 4.151 4.782
angles: 115.73 107.03 90.00
Sites, in units of the cell vectors:
Fe1 0.983 0.983 0.967
Fe2 0.742 0.242 0.483
Ir1 0.517 0.517 0.033
Si1 0.258 0.758 0.517

=====

(14)
First-principles (PBEsol) data for an optimized crystal structure of Fe3Si4Ir, as listed in Alexandria via LeMat-Bulk.

Results
Volume   91 Å³/cell
Electronic total energy   -8.083 eV/atom
ΔE_f (raw)   -620 meV per atom

abc: 4.503 4.503 4.503
angles: 89.82 89.82 89.82
Sites, in units of the cell vectors:
Si1 0.835 0.643 0.344
Si2 0.171 0.171 0.171
Si3 0.643 0.344 0.835
Si4 0.344 0.835 0.643
Ir1 0.866 0.866 0.866
Fe1 0.140 0.364 0.637
Fe2 0.637 0.140 0.364
Fe3 0.364 0.637 0.140

=====

(15)
First-principles (PBEsol) data for an optimized crystal structure of Fe2SiIr, as listed in Alexandria via LeMat-Bulk.

Results
Volume   47 Å³/cell
Electronic total energy   -8.598 eV/atom
ΔE_f (raw)   -224 meV per atom

abc: 2.655 4.401 4.401
angles: 112.82 90.00 90.00
Sites, in units of the cell vectors:
Si1 0.500 0.500 0.500
Ir1 0.500 0.000 0.000
Fe1 0.000 0.500 0.000
Fe2 0.000 0.000 0.500

=====

(16)
First-principles (PBEsol) data for an optimized crystal structure of Fe2SiIr, as listed in Alexandria via LeMat-Bulk.

Results
Volume   48 Å³/cell
Electronic total energy   -8.661 eV/atom
ΔE_f (raw)   -287 meV per atom

abc: 2.845 4.044 4.148
angles: 90.00 90.00 90.00
Sites, in units of the cell vectors:
Si1 0.000 0.500 0.500
Fe1 0.500 0.500 0.000
Fe2 0.000 0.000 0.000
Ir1 0.500 0.000 0.500

=====

(17)
First-principles (PBEsol) data for an optimized crystal structure of Fe2SiIr, as listed in Alexandria via LeMat-Bulk.

Results
Volume   47 Å³/cell
Electronic total energy   -8.690 eV/atom
ΔE_f (raw)   -315 meV per atom

abc: 2.786 4.074 4.843
angles: 114.87 106.72 90.00
Sites, in units of the cell vectors:
Si1 0.000 0.500 0.000
Fe1 0.265 0.265 0.530
Fe2 0.735 0.735 0.470
Ir1 0.500 0.000 0.000

=====

(18)
First-principles (PBEsol) data for an optimized crystal structure of Fe2SiIr, as listed in Alexandria via LeMat-Bulk.

Results
Volume   48 Å³/cell
Electronic total energy   -8.669 eV/atom
ΔE_f (raw)   -295 meV per atom

abc: 3.531 3.531 3.864
angles: 90.00 90.00 90.00
Sites, in units of the cell vectors:
Si1 0.000 0.000 0.500
Ir1 0.500 0.500 0.500
Fe1 0.500 0.000 0.000
Fe2 0.000 0.500 0.000

=====

(19)
First-principles (PBEsol) data for an optimized crystal structure of FeSiIr2, as listed in Alexandria via LeMat-Bulk.

Results
Volume   52 Å³/cell
Electronic total energy   -8.933 eV/atom
ΔE_f (raw)   -344 meV per atom

abc: 2.810 2.810 6.588
angles: 90.00 90.00 90.00
Sites, in units of the cell vectors:
Ir1 0.000 0.000 0.225
Ir2 0.000 0.000 0.775
Fe1 0.500 0.500 0.500
Si1 0.500 0.500 0.000

=====

(20)
First-principles (PBEsol) data for an optimized crystal structure of SrFeIr2, as listed in Alexandria via LeMat-Bulk.

Results
Volume   67 Å³/cell
Electronic total energy   -6.927 eV/atom
DFT formation energy   264 kJ/mol of formula units

abc: 4.563 4.563 4.563
angles: 60.00 60.00 60.00
Sites, in units of the cell vectors:
Ir1 0.000 0.000 0.000
Ir2 0.750 0.750 0.750
Fe1 0.500 0.500 0.500
Sr1 0.250 0.250 0.250